# 1
Here is an optimized crystal structure of SiB2Ir from Alexandria. Energies are from PBE.

Structure (CIF):
```
data_SiB2Ir
_chemical_formula_sum 'Si4 B8 Ir4'
_cell_length_a 4.8116
_cell_length_b 4.8116
_cell_length_c 9.2651
_cell_angle_alpha 90.00
_cell_angle_beta 90.00
_cell_angle_gamma 90.00
_symmetry_space_group_name_H-M 'I -4 2 d'
_symmetry_Int_Tables_number 122
_symmetry_space_group_name_Hall 'I -4 2bw'
loop_
_atom_site_label
_atom_site_fract_x
_atom_site_fract_y
_atom_site_fract_z
_atom_site_occupancy
Si1 0.0000 0.0000 0.0000 1
B1 0.2426 0.2500 0.6250 1
Ir1 0.0000 0.0000 0.5000 1
```

Computed properties:
M_tot = 0.00 μB per cell
N(E_F) = 1.55 states/eV/f.u.
raw formation energy = 0.321 eV/atom
DFT total energy = -6.589 eV/atom

---

# 2
Here is an optimized crystal structure of CsKZrBr6 from Alexandria. Energies are from PBE.

Structure (CIF):
```
data_CsKZrBr6
_chemical_formula_sum 'Cs2 K2 Zr2 Br12'
_cell_length_a 8.0884
_cell_length_b 8.0884
_cell_length_c 14.4231
_cell_angle_alpha 90.00
_cell_angle_beta 90.00
_cell_angle_gamma 120.00
_symmetry_space_group_name_H-M 'P -3 1 c'
_symmetry_Int_Tables_number 163
_symmetry_space_group_name_Hall '-P 3 2c'
loop_
_atom_site_label
_atom_site_fract_x
_atom_site_fract_y
_atom_site_fract_z
_atom_site_occupancy
Cs1 0.0000 0.0000 0.0000 1
K1 0.3333 0.6667 0.2500 1
Zr1 0.3333 0.6667 0.7500 1
Br1 0.0610 0.4041 0.6428 1
```

Computed properties:
M_tot = 0.00 μB per cell
N(E_F) = 0.00 states/eV/f.u.
raw formation energy = -1.594 eV/atom
DFT total energy = -3.876 eV/atom

---

# 3
Here is an optimized crystal structure of Pr8Te4S3N from Alexandria. Energies are from PBE.

Structure (CIF):
```
data_Pr8Te4S3N
_chemical_formula_sum 'Pr24 Te12 S9 N3'
_cell_length_a 8.3998
_cell_length_b 8.3998
_cell_length_c 21.6923
_cell_angle_alpha 90.00
_cell_angle_beta 90.00
_cell_angle_gamma 120.00
_symmetry_space_group_name_H-M 'R -3 m'
_symmetry_Int_Tables_number 166
_symmetry_space_group_name_Hall '-R 3 2"'
loop_
_atom_site_label
_atom_site_fract_x
_atom_site_fract_y
_atom_site_fract_z
_atom_site_occupancy
Pr1 0.0000 0.0000 0.2361 1
Pr2 0.0245 0.5122 0.2328 1
Te1 0.0000 0.0000 0.0000 1
Te2 0.0000 0.5000 0.0000 1
S1 0.0000 0.5000 0.5000 1
N1 0.0000 0.0000 0.5000 1
```

Computed properties:
M_tot = 0.00 μB per cell
N(E_F) = 5.14 states/eV/f.u.
raw formation energy = -1.629 eV/atom
DFT total energy = -6.099 eV/atom

---

# 4
Here is an optimized crystal structure of KAcCO4 from Alexandria. Energies are from PBE.

Structure (CIF):
```
data_KAcCO4
_chemical_formula_sum 'K2 Ac2 C2 O8'
_cell_length_a 5.6348
_cell_length_b 5.3371
_cell_length_c 7.6435
_cell_angle_alpha 90.00
_cell_angle_beta 99.39
_cell_angle_gamma 90.00
_symmetry_space_group_name_H-M 'P 1 21/m 1'
_symmetry_Int_Tables_number 11
loop_
_symmetry_equiv_pos_as_xyz
'x,y,z'
'-x,-y,-z'
'-x,y+1/2,-z'
'x,-y+1/2,z'
loop_
_atom_site_label
_atom_site_fract_x
_atom_site_fract_y
_atom_site_fract_z
_atom_site_occupancy
K1 0.2481 0.2500 0.0337 1
Ac1 0.2411 0.2500 0.5415 1
C1 0.2155 0.7500 0.3049 1
O1 0.0680 0.5358 0.2782 1
O2 0.3195 0.7500 0.4994 1
O3 0.4004 0.7500 0.2067 1
```

Computed properties:
M_tot = 0.00 μB per cell
N(E_F) = 0.00 states/eV/f.u.
raw formation energy = -2.187 eV/atom
DFT total energy = -7.082 eV/atom

---

# 5
Here is an optimized crystal structure of BeSbH from Alexandria. Energies are from PBE.

Structure (CIF):
```
data_BeSbH
_chemical_formula_sum 'Be4 Sb4 H4'
_cell_length_a 6.0189
_cell_length_b 2.8923
_cell_length_c 12.6092
_cell_angle_alpha 90.00
_cell_angle_beta 90.00
_cell_angle_gamma 90.00
_symmetry_space_group_name_H-M 'P n m a'
_symmetry_Int_Tables_number 62
loop_
_symmetry_equiv_pos_as_xyz
'x,y,z'
'-x,-y,-z'
'-x+1/2,-y,z+1/2'
'x+1/2,y,-z+1/2'
'x+1/2,-y+1/2,-z+1/2'
'-x+1/2,y+1/2,z+1/2'
'-x,y+1/2,-z'
'x,-y+1/2,z'
loop_
_atom_site_label
_atom_site_fract_x
_atom_site_fract_y
_atom_site_fract_z
_atom_site_occupancy
Be1 0.0889 0.2500 0.0842 1
Sb1 0.1746 0.7500 0.4222 1
H1 0.1223 0.7500 0.1386 1
```

Computed properties:
M_tot = 0.00 μB per cell
ΔE to the lowest computed polymorph = 404 meV per atom
N(E_F) = 0.74 states/eV/f.u.
DFT total energy = -3.302 eV/atom

---

# 6
Here is an optimized crystal structure of Be2SeN from Alexandria. Energies are from PBE.

Structure (CIF):
```
data_Be2SeN
_chemical_formula_sum 'Be8 Se4 N4'
_cell_length_a 4.6743
_cell_length_b 4.6743
_cell_length_c 8.5230
_cell_angle_alpha 90.00
_cell_angle_beta 90.00
_cell_angle_gamma 90.00
_symmetry_space_group_name_H-M 'I -4 2 d'
_symmetry_Int_Tables_number 122
_symmetry_space_group_name_Hall 'I -4 2bw'
loop_
_atom_site_label
_atom_site_fract_x
_atom_site_fract_y
_atom_site_fract_z
_atom_site_occupancy
Be1 0.1240 0.2500 0.1250 1
Se1 0.0000 0.0000 0.5000 1
N1 0.0000 0.0000 0.0000 1
```

Computed properties:
M_tot = 0.00 μB per cell
ΔE to the lowest computed polymorph = 0 meV per atom
N(E_F) = 2.26 states/eV/f.u.
raw formation energy = -0.501 eV/atom
DFT total energy = -5.316 eV/atom

---

Copy entry 6 word for word.
Here is an optimized crystal structure of Be2SeN from Alexandria. Energies are from PBE.

Structure (CIF):
```
data_Be2SeN
_chemical_formula_sum 'Be8 Se4 N4'
_cell_length_a 4.6743
_cell_length_b 4.6743
_cell_length_c 8.5230
_cell_angle_alpha 90.00
_cell_angle_beta 90.00
_cell_angle_gamma 90.00
_symmetry_space_group_name_H-M 'I -4 2 d'
_symmetry_Int_Tables_number 122
_symmetry_space_group_name_Hall 'I -4 2bw'
loop_
_atom_site_label
_atom_site_fract_x
_atom_site_fract_y
_atom_site_fract_z
_atom_site_occupancy
Be1 0.1240 0.2500 0.1250 1
Se1 0.0000 0.0000 0.5000 1
N1 0.0000 0.0000 0.0000 1
```

Computed properties:
M_tot = 0.00 μB per cell
ΔE to the lowest computed polymorph = 0 meV per atom
N(E_F) = 2.26 states/eV/f.u.
raw formation energy = -0.501 eV/atom
DFT total energy = -5.316 eV/atom